Record 1
Material: Bi3AuO6
Method: DFT, PBE
State: optimized geometry

Structure (CIF):
```
data_Bi3AuO6
_chemical_formula_sum 'Bi6 Au2 O12'
_cell_length_a 7.579
_cell_length_b 7.579
_cell_length_c 5.653
_cell_angle_alpha 90.00
_cell_angle_beta 90.00
_cell_angle_gamma 99.93
_space_group_name_H-M_alt 'P 1'
_space_group_IT_number 1
_space_group_name_Hall 'P 1'
loop_
_atom_site_label
_atom_site_fract_x
_atom_site_fract_y
_atom_site_fract_z
Bi1 0.100 0.900 0.500
Bi2 0.163 0.419 0.491
Bi3 0.419 0.163 0.991
Bi4 0.581 0.837 0.491
Bi5 0.837 0.581 0.991
Bi6 0.900 0.100 0.000
Au1 0.375 0.625 0.997
Au2 0.625 0.375 0.497
O1 0.094 0.588 0.788
O2 0.118 0.173 0.731
O3 0.173 0.118 0.231
O4 0.280 0.720 0.299
O5 0.412 0.906 0.788
O6 0.463 0.537 0.678
O7 0.537 0.463 0.178
O8 0.588 0.094 0.288
O9 0.720 0.280 0.799
O10 0.827 0.882 0.731
O11 0.882 0.827 0.231
O12 0.906 0.412 0.288
```

Properties
Formation energy without anion corrections (meV per atom): -847
N(E_F) (states/eV per cell): 4.93
Relative energy among the computed polymorphs (meV per atom): 80.9
DFT total energy (eV/atom): -5.31
Total magnetic moment (μB per formula unit): 0.000

Record 2
Material: BiAu2O
Method: DFT, PBE
State: optimized geometry

Structure (CIF):
```
data_BiAu2O
_chemical_formula_sum 'Bi1 Au2 O1'
_cell_length_a 4.741
_cell_length_b 4.741
_cell_length_c 4.741
_cell_angle_alpha 60.00
_cell_angle_beta 60.00
_cell_angle_gamma 60.00
_space_group_name_H-M_alt 'P 1'
_space_group_IT_number 1
_space_group_name_Hall 'P 1'
loop_
_atom_site_label
_atom_site_fract_x
_atom_site_fract_y
_atom_site_fract_z
Bi1 0.000 0.000 0.000
Au1 0.250 0.250 0.250
Au2 0.750 0.750 0.750
O1 0.500 0.500 0.500
```

Properties
Formation energy without anion corrections (meV per atom): 407
N(E_F) (states/eV per cell): 6.34
Relative energy among the computed polymorphs (meV per atom): 386.2
DFT total energy (eV/atom): -3.44
Total magnetic moment (μB per formula unit): 0.000

Record 3
Material: BiP2AuO
Method: DFT, PBE
State: optimized geometry

Structure (CIF):
```
data_BiP2AuO
_chemical_formula_sum 'Bi1 P2 Au1 O1'
_cell_length_a 5.295
_cell_length_b 5.295
_cell_length_c 4.085
_cell_angle_alpha 90.00
_cell_angle_beta 90.00
_cell_angle_gamma 90.00
_space_group_name_H-M_alt 'P 1'
_space_group_IT_number 1
_space_group_name_Hall 'P 1'
loop_
_atom_site_label
_atom_site_fract_x
_atom_site_fract_y
_atom_site_fract_z
Bi1 0.000 0.000 0.000
P1 0.000 0.500 0.000
P2 0.500 0.000 0.000
Au1 0.500 0.500 0.500
O1 0.000 0.000 0.500
```

Properties
Formation energy without anion corrections (meV per atom): 902
N(E_F) (states/eV per cell): 3.81
Relative energy among the computed polymorphs (meV per atom): 344.3
DFT total energy (eV/atom): -3.68
Total magnetic moment (μB per formula unit): 0.000

Record 4
Material: BiP2AuO8
Method: DFT, PBE
State: optimized geometry

Structure (CIF):
```
data_BiP2AuO8
_chemical_formula_sum 'Bi1 P2 Au1 O8'
_cell_length_a 7.828
_cell_length_b 7.828
_cell_length_c 7.828
_cell_angle_alpha 35.83
_cell_angle_beta 35.83
_cell_angle_gamma 35.83
_space_group_name_H-M_alt 'P 1'
_space_group_IT_number 1
_space_group_name_Hall 'P 1'
loop_
_atom_site_label
_atom_site_fract_x
_atom_site_fract_y
_atom_site_fract_z
Bi1 0.000 0.000 0.000
P1 0.254 0.254 0.254
P2 0.746 0.746 0.746
Au1 0.500 0.500 0.500
O1 0.068 0.451 0.779
O2 0.221 0.549 0.932
O3 0.325 0.325 0.325
O4 0.451 0.779 0.068
O5 0.549 0.932 0.221
O6 0.675 0.675 0.675
O7 0.779 0.068 0.451
O8 0.932 0.221 0.549
```

Properties
Formation energy without anion corrections (meV per atom): -1325
N(E_F) (states/eV per cell): 1.34
DFT total energy (eV/atom): -6.13
Total magnetic moment (μB per formula unit): 2.023